--- i ---
## KSbTe (PBE)

Data for a geometry-optimized KSbTe structure.

Results
Symmetry: No. 44

```
KSbTe
1.0
-1.659 2.914 5.799
1.659 -2.914 5.799
1.659 2.914 -5.799
K Sb Te
1 1 1
direct
0.000 0.000 0.000 K
0.372 0.372 0.000 Sb
0.616 0.616 0.000 Te
```

***

--- ii ---
## KSbTe (PBE)

Data for a geometry-optimized KSbTe structure.

Results
Symmetry: No. 216

```
KSbTe
1.0
0.000 3.894 3.894
3.894 0.000 3.894
3.894 3.894 0.000
K Sb Te
1 1 1
direct
0.000 0.000 0.000 K
0.250 0.250 0.250 Sb
0.500 0.500 0.500 Te
```

***

The winner here is i, beating the second structure by 18.6 kJ/mol of atoms.

***

--- i ---
## YEr2Zr (PBE)

Data for a geometry-optimized YEr2Zr structure.

Results
Symmetry: No. 123

```
YEr2Zr
1.0
3.989 0.000 0.000
0.000 3.989 0.000
0.000 0.000 7.256
Y Er Zr
1 2 1
direct
0.000 0.000 0.000 Y
0.500 0.500 0.276 Er
0.500 0.500 0.724 Er
0.000 0.000 0.500 Zr
```

***

--- ii ---
## YEr2Zr (PBE)

Data for a geometry-optimized YEr2Zr structure.

Results
Symmetry: No. 166

```
YEr2Zr
1.0
1.674 0.967 11.920
-1.674 0.967 11.920
0.000 -1.933 11.920
Y Er Zr
1 2 1
direct
0.000 0.000 0.000 Y
0.414 0.414 0.414 Er
0.586 0.586 0.586 Er
0.500 0.500 0.500 Zr
```

***

The winner here is i, beating the second structure by 13.3 kJ/mol of atoms.

***

--- i ---
## BaLiMg2 (PBE)

Data for a geometry-optimized BaLiMg2 structure.

Results
Symmetry: No. 99

```
BaLiMg2
1.0
3.747 0.000 0.000
0.000 3.747 0.000
0.000 0.000 8.642
Ba Li Mg
1 1 2
direct
0.000 0.000 0.000 Ba
0.500 0.500 0.312 Li
0.000 0.000 0.479 Mg
0.500 0.500 0.690 Mg
```

***

--- ii ---
## BaLiMg2 (PBE)

Data for a geometry-optimized BaLiMg2 structure.

Results
Symmetry: No. 160

```
BaLiMg2
1.0
1.906 1.100 10.279
-1.906 1.100 10.279
0.000 -2.200 10.279
Ba Li Mg
1 1 2
direct
0.000 0.000 0.000 Ba
0.235 0.235 0.235 Li
0.501 0.501 0.501 Mg
0.763 0.763 0.763 Mg
```

***

The winner here is i, beating the second structure by 15.4 kJ/mol of atoms.

***

--- i ---
## B2C3 (PBE)

Data for a geometry-optimized B2C3 structure.

Results
Symmetry: No. 160

```
B2C3
1.0
1.323 0.764 12.332
-1.323 0.764 12.332
0.000 -1.528 12.332
B C
4 6
direct
0.000 0.000 0.000 B
0.100 0.100 0.100 B
0.618 0.618 0.618 B
0.875 0.875 0.875 B
0.227 0.227 0.227 C
0.265 0.265 0.265 C
0.439 0.439 0.439 C
0.484 0.484 0.484 C
0.662 0.662 0.662 C
0.831 0.831 0.831 C
```

***

--- ii ---
## B2C3 (PBE)

Data for a geometry-optimized B2C3 structure.

Results
Symmetry: No. 8

```
B2C3
1.0
4.186 -1.281 0.000
4.186 1.281 0.000
-2.046 0.000 5.913
B C
4 6
direct
0.000 0.000 0.000 B
0.092 0.092 0.283 B
0.223 0.223 0.836 B
0.848 0.848 0.218 B
0.219 0.219 0.098 C
0.415 0.415 0.851 C
0.440 0.440 0.623 C
0.627 0.627 0.661 C
0.669 0.669 0.452 C
0.858 0.858 0.485 C
```

***

The winner here is i, beating the second structure by 3.6 kJ/mol of atoms.

***

--- i ---
## CaMn2Pb (PBE)

Data for a geometry-optimized CaMn2Pb structure.

Results
Symmetry: No. 122

```
CaMn2Pb
1.0
-4.071 4.071 3.085
4.071 -4.071 3.085
4.071 4.071 -3.085
Ca Mn Pb
2 4 2
direct
0.000 0.000 0.000 Ca
0.750 0.250 0.500 Ca
0.160 0.125 0.535 Mn
0.375 0.840 0.965 Mn
0.590 0.625 0.465 Mn
0.875 0.410 0.035 Mn
0.250 0.750 0.500 Pb
0.500 0.500 0.000 Pb
```

***

--- ii ---
## CaMn2Pb (PBE)

Data for a geometry-optimized CaMn2Pb structure.

Results
Symmetry: No. 47

```
CaMn2Pb
1.0
3.402 0.000 0.000
0.000 4.930 0.000
0.000 0.000 5.731
Ca Mn Pb
1 2 1
direct
0.000 0.000 0.000 Ca
0.500 0.500 0.238 Mn
0.500 0.500 0.762 Mn
0.500 0.000 0.500 Pb
```

***

The winner here is ii, beating the second structure by 18.2 kJ/mol of atoms.

***

--- i ---
## K2RbPdF6 (PBE)

Data for a geometry-optimized K2RbPdF6 structure.

Results
Symmetry: No. 225

```
K2RbPdF6
1.0
0.000 4.645 4.645
4.645 0.000 4.645
4.645 4.645 0.000
K Rb Pd F
2 1 1 6
direct
0.250 0.250 0.250 K
0.750 0.750 0.750 K
0.000 0.000 0.000 Rb
0.500 0.500 0.500 Pd
0.279 0.279 0.721 F
0.279 0.721 0.279 F
0.279 0.721 0.721 F
0.721 0.279 0.279 F
0.721 0.279 0.721 F
0.721 0.721 0.279 F
```

***

--- ii ---
## K2RbPdF6 (PBE)

Data for a geometry-optimized K2RbPdF6 structure.

Results
Symmetry: No. 14

```
K2RbPdF6
1.0
6.321 0.000 0.000
0.000 6.490 0.000
-5.815 0.000 9.282
K Rb Pd F
4 2 2 12
direct
0.230 0.054 0.245 K
0.230 0.446 0.745 K
0.770 0.554 0.255 K
0.770 0.946 0.755 K
0.500 0.000 0.000 Rb
0.500 0.500 0.500 Rb
0.000 0.000 0.500 Pd
0.000 0.500 0.000 Pd
0.083 0.248 0.926 F
0.083 0.252 0.426 F
0.188 0.674 0.939 F
0.188 0.826 0.439 F
0.341 0.062 0.715 F
0.341 0.438 0.215 F
0.659 0.562 0.785 F
0.659 0.938 0.285 F
0.812 0.174 0.561 F
0.812 0.326 0.061 F
0.917 0.748 0.574 F
0.917 0.752 0.074 F
```

***

The winner here is ii, beating the second structure by 7.0 kJ/mol of atoms.